1.
Entry from Alexandria: Co2WCl after structural relaxation (PBE).

a = 2.764 Å, b = 4.346 Å, c = 4.415 Å
α = 90.00°, β = 90.00°, γ = 90.00°
Element x y z (fractional)
1 Co 0.000 0.000 0.000
2 Co 0.500 0.000 0.500
3 W 0.000 0.500 0.500
4 Cl 0.500 0.500 0.000

Values from the calculation:
The value obtained for the uncorrected formation energy is 814 meV per atom. Its density is 10.556 g/cm³. The space-group type is Pmmm (47). The energy above the lowest structure with this stoichiometry is 534 meV/atom.



2.
Entry from Alexandria: Ho5Bi6Pb after structural relaxation (PBE).

a = 7.816 Å, b = 7.816 Å, c = 7.822 Å
α = 99.63°, β = 99.63°, γ = 120.09°
Element x y z (fractional)
1 Ho 0.000 0.000 0.000
2 Ho 0.169 0.831 0.500
3 Ho 0.339 0.661 0.000
4 Ho 0.661 0.339 0.000
5 Ho 0.831 0.169 0.500
6 Bi 0.071 0.413 0.244
7 Bi 0.240 0.240 0.752
8 Bi 0.413 0.071 0.244
9 Bi 0.587 0.929 0.756
10 Bi 0.760 0.760 0.248
11 Bi 0.929 0.587 0.756
12 Pb 0.500 0.500 0.500

Values from the calculation:
The formation enthalpy at 0 K comes out at -629 meV per atom. Its density is 9.742 g/cm³. The space-group type is C2/m (12).



3.
Entry from Alexandria: Cs2MgZnCl6 after structural relaxation (PBE).

a = 7.219 Å, b = 7.219 Å, c = 7.219 Å
α = 119.96°, β = 119.96°, γ = 90.07°
Element x y z (fractional)
1 Cs 0.250 0.750 0.500
2 Cs 0.750 0.250 0.500
3 Mg 0.000 0.000 0.000
4 Zn 0.500 0.500 0.000
5 Cl 0.251 0.251 0.503
6 Cl 0.251 0.749 0.000
7 Cl 0.253 0.253 0.000
8 Cl 0.747 0.747 0.000
9 Cl 0.749 0.251 0.000
10 Cl 0.749 0.749 0.497

Values from the calculation:
The value obtained for the uncorrected formation energy is -1667 meV per atom. Its density is 3.545 g/cm³. The space-group type is I4/mmm (139). The energy above the lowest structure with this stoichiometry is 34 meV/atom.



4.
Entry from Alexandria: SrZrTa2 after structural relaxation (PBE).

a = 6.330 Å, b = 6.330 Å, c = 6.330 Å
α = 152.20°, β = 128.52°, γ = 59.51°
Element x y z (fractional)
1 Sr 0.000 0.000 0.000
2 Zr 0.500 0.500 0.000
3 Ta 0.269 0.769 0.500
4 Ta 0.731 0.231 0.500

Values from the calculation:
The formation enthalpy at 0 K comes out at 845 meV per atom. Its density is 9.774 g/cm³. The space-group type is Immm (71). The energy above the lowest structure with this stoichiometry is 432 meV/atom.



5.
Entry from Alexandria: K2NpNb3O12 after structural relaxation (PBE).

a = 7.672 Å, b = 7.672 Å, c = 7.672 Å
α = 58.40°, β = 58.40°, γ = 58.40°
Element x y z (fractional)
1 K 0.100 0.100 0.100
2 K 0.900 0.900 0.900
3 Np 0.500 0.500 0.500
4 Nb 0.000 0.500 0.500
5 Nb 0.500 0.000 0.500
6 Nb 0.500 0.500 0.000
7 O 0.185 0.564 0.564
8 O 0.188 0.188 0.567
9 O 0.188 0.567 0.188
10 O 0.433 0.812 0.812
11 O 0.436 0.436 0.815
12 O 0.436 0.815 0.436
13 O 0.564 0.185 0.564
14 O 0.564 0.564 0.185
15 O 0.567 0.188 0.188
16 O 0.812 0.433 0.812
17 O 0.812 0.812 0.433
18 O 0.815 0.436 0.436

Values from the calculation:
The value obtained for the uncorrected formation energy is -2456 meV per atom. Its density is 4.242 g/cm³. The space-group type is R-3m (166).



6.
Entry from Alexandria: GeBiAu4 after structural relaxation (PBE).

a = 9.573 Å, b = 9.573 Å, c = 6.856 Å
α = 90.00°, β = 90.00°, γ = 154.39°
Element x y z (fractional)
1 Ge 0.123 0.877 0.750
2 Ge 0.877 0.123 0.250
3 Bi 0.378 0.622 0.750
4 Bi 0.622 0.378 0.250
5 Au 0.000 0.000 0.000
6 Au 0.000 0.000 0.500
7 Au 0.205 0.795 0.046
8 Au 0.205 0.795 0.454
9 Au 0.456 0.544 0.250
10 Au 0.544 0.456 0.750
11 Au 0.795 0.205 0.546
12 Au 0.795 0.205 0.954

Values from the calculation:
The formation enthalpy at 0 K comes out at 69 meV per atom. Its density is 13.080 g/cm³. The space-group type is Cmcm (63). The energy above the lowest structure with this stoichiometry is 6 meV/atom.



7.
Entry from Alexandria: PdPbO3 after structural relaxation (PBE).

a = 4.467 Å, b = 4.467 Å, c = 4.467 Å
α = 87.33°, β = 87.33°, γ = 87.33°
Element x y z (fractional)
1 Pd 0.000 0.000 0.000
2 Pb 0.379 0.379 0.379
3 O 0.307 0.307 0.866
4 O 0.307 0.866 0.307
5 O 0.866 0.307 0.307

Values from the calculation:
The value obtained for the uncorrected formation energy is -152 meV per atom. Its density is 6.758 g/cm³. The space-group type is R3m (160).



8.
Entry from Alexandria: BaSn3Pd3 after structural relaxation (PBE).

a = 7.382 Å, b = 7.382 Å, c = 7.382 Å
α = 90.00°, β = 90.00°, γ = 90.00°
Element x y z (fractional)
1 Ba 0.000 0.000 0.000
2 Ba 0.500 0.500 0.500
3 Sn 0.000 0.250 0.500
4 Sn 0.000 0.750 0.500
5 Sn 0.250 0.500 0.000
6 Sn 0.500 0.000 0.250
7 Sn 0.500 0.000 0.750
8 Sn 0.750 0.500 0.000
9 Pd 0.000 0.500 0.250
10 Pd 0.000 0.500 0.750
11 Pd 0.250 0.000 0.500
12 Pd 0.500 0.250 0.000
13 Pd 0.500 0.750 0.000
14 Pd 0.750 0.000 0.500

Values from the calculation:
The formation enthalpy at 0 K comes out at -434 meV per atom. Its density is 6.711 g/cm³. The space-group type is Pm-3n (223). The energy above the lowest structure with this stoichiometry is 24 meV/atom.



9.
Entry from Alexandria: K2GaCoSn after structural relaxation (PBE).

a = 6.628 Å, b = 6.628 Å, c = 4.815 Å
α = 90.00°, β = 90.00°, γ = 90.00°
Element x y z (fractional)
1 K 0.000 0.500 0.000
2 K 0.500 0.000 0.000
3 Ga 0.000 0.000 0.500
4 Co 0.500 0.500 0.500
5 Sn 0.500 0.500 0.000

Values from the calculation:
The formation enthalpy at 0 K comes out at 617 meV per atom. Its density is 2.556 g/cm³. The space-group type is P4/mmm (123).



10.
Entry from Alexandria: NaI3O8 after structural relaxation (PBE).

a = 8.235 Å, b = 8.235 Å, c = 5.960 Å
α = 90.00°, β = 90.00°, γ = 90.00°
Element x y z (fractional)
1 Na 0.000 0.000 0.000
2 Na 0.500 0.500 0.000
3 I 0.000 0.500 0.124
4 I 0.222 0.249 0.620
5 I 0.249 0.778 0.380
6 I 0.500 0.000 0.876
7 I 0.751 0.222 0.380
8 I 0.778 0.751 0.620
9 O 0.006 0.224 0.662
10 O 0.082 0.737 0.150
11 O 0.169 0.452 0.316
12 O 0.224 0.994 0.338
13 O 0.261 0.423 0.801
14 O 0.263 0.082 0.850
15 O 0.423 0.739 0.199
16 O 0.452 0.831 0.684
17 O 0.548 0.169 0.684
18 O 0.577 0.261 0.199
19 O 0.737 0.918 0.850
20 O 0.739 0.577 0.801
21 O 0.776 0.006 0.338
22 O 0.831 0.548 0.316
23 O 0.918 0.263 0.150
24 O 0.994 0.776 0.662

Values from the calculation:
The value obtained for the uncorrected formation energy is -542 meV per atom. Its density is 4.369 g/cm³. The space-group type is P-4 (81). The energy above the lowest structure with this stoichiometry is 0 meV/atom.



11.
Entry from Alexandria: YHo5Th4 after structural relaxation (PBE).

a = 6.715 Å, b = 11.687 Å, c = 8.545 Å
α = 90.00°, β = 90.00°, γ = 90.00°
Element x y z (fractional)
1 Y 0.250 0.250 0.042
2 Y 0.750 0.750 0.958
3 Ho 0.010 0.033 0.315
4 Ho 0.010 0.467 0.315
5 Ho 0.250 0.750 0.706
6 Ho 0.490 0.033 0.315
7 Ho 0.490 0.467 0.315
8 Ho 0.510 0.533 0.685
9 Ho 0.510 0.967 0.685
10 Ho 0.750 0.250 0.294
11 Ho 0.990 0.533 0.685
12 Ho 0.990 0.967 0.685
13 Th 0.001 0.750 0.359
14 Th 0.250 0.604 0.033
15 Th 0.250 0.896 0.033
16 Th 0.499 0.750 0.359
17 Th 0.501 0.250 0.641
18 Th 0.750 0.104 0.967
19 Th 0.750 0.396 0.967
20 Th 0.999 0.250 0.641

Values from the calculation:
The formation enthalpy at 0 K comes out at 392 meV per atom. Its density is 9.121 g/cm³. The space-group type is Pmmn (59). The energy above the lowest structure with this stoichiometry is 171 meV/atom.



12.
Entry from Alexandria: HfSn3S after structural relaxation (PBE).

a = 5.126 Å, b = 5.126 Å, c = 5.126 Å
α = 90.00°, β = 90.00°, γ = 90.00°
Element x y z (fractional)
1 Hf 0.000 0.000 0.000
2 Sn 0.000 0.500 0.500
3 Sn 0.500 0.000 0.500
4 Sn 0.500 0.500 0.000
5 S 0.500 0.500 0.500

Values from the calculation:
The value obtained for the uncorrected formation energy is 524 meV per atom. Its density is 6.987 g/cm³. The space-group type is Pm-3m (221). The energy above the lowest structure with this stoichiometry is 0 meV/atom.